Record 1
Below is a geometry-optimized NdTl2Hg structure, with properties calculated at the PBE-GGA level.

Results
The space group is No. 123. The calculation puts the total energy at -2.770 eV per atom. For the formation energy, the calculation gives -0.320 eV/atom. The magnetic moment is 0.00 μB per cell.

Lattice parameters (Å, degrees): 4.7511 4.7956 4.7956 90.00 90.00 90.00
Positions (direct):
Tl1 0.0000 0.0000 0.5000
Tl2 0.0000 0.5000 0.0000
Nd1 0.5000 0.5000 0.5000
Hg1 0.5000 0.0000 0.0000

=====

Record 2
Below is a geometry-optimized Nd6TlHg structure, with properties calculated at the PBE-GGA level.

Results
The offset from the most stable computed form is 0.000 eV/atom. The space group is No. 139. The calculation puts the total energy at -4.109 eV per atom. For the formation energy, the calculation gives -0.199 eV/atom. The magnetic moment is 0.00 μB per cell.

Lattice parameters (Å, degrees): 5.2704 5.2704 9.9958 74.72 74.74 90.00
Positions (direct):
Nd1 0.7498 0.7497 0.5005
Nd2 0.6118 0.1120 0.7760
Nd3 0.2502 0.2503 0.4995
Nd4 0.8881 0.3880 0.2240
Hg1 0.0000 0.0000 0.0000
Tl1 0.5000 0.5000 0.0000
Nd5 0.3882 0.8880 0.2240
Nd6 0.1119 0.6120 0.7760

=====

Record 3
Below is a geometry-optimized Nd8Tl5Hg structure, with properties calculated at the PBE-GGA level.

Results
The space group is No. 82. The calculation puts the total energy at -3.882 eV per atom. For the formation energy, the calculation gives -0.291 eV/atom. The magnetic moment is 0.00 μB per cell.

Lattice parameters (Å, degrees): 8.3187 8.3187 8.3187 109.52 109.37 109.52
Positions (direct):
Tl1 0.9990 0.3738 0.1244
Tl2 0.3749 0.1254 0.0010
Nd1 0.2728 0.2517 0.3775
Nd2 0.1263 0.7513 0.5241
Tl3 0.5000 0.0000 0.5000
Nd3 0.9789 0.1048 0.7272
Hg1 0.2500 0.5000 0.7500
Tl4 0.7506 0.6262 0.6251
Nd4 0.7727 0.2487 0.3750
Nd5 0.6225 0.8952 0.8742
Tl5 0.8756 0.8746 0.2494
Nd6 0.1258 0.7483 0.0211
Nd7 0.4759 0.6023 0.2273
Nd8 0.6250 0.3977 0.8737

=====

Record 4
Below is a geometry-optimized Nd5TlHg2 structure, with properties calculated at the PBE-GGA level.

Results
The space group is No. 140. The calculation puts the total energy at -3.661 eV per atom. For the formation energy, the calculation gives -0.310 eV/atom. The magnetic moment is 0.00 μB per cell.

Lattice parameters (Å, degrees): 8.0413 8.0413 9.5689 114.85 114.85 90.00
Positions (direct):
Nd1 0.9926 0.4926 0.3062
Tl1 0.2500 0.2500 0.5000
Nd2 0.5074 0.6864 0.6938
Hg1 0.3676 0.8676 0.0000
Nd3 0.0000 0.0000 0.0000
Nd4 0.5000 0.5000 0.0000
Nd5 0.6864 0.1864 0.6938
Hg2 0.1324 0.3676 0.0000
Nd6 0.8136 0.9926 0.3062
Nd7 0.3136 0.8136 0.3062
Nd8 0.0074 0.5074 0.6938
Hg3 0.8676 0.6324 0.0000
Tl2 0.7500 0.7500 0.5000
Nd9 0.4926 0.3136 0.3062
Hg4 0.6324 0.1324 0.0000
Nd10 0.1864 0.0074 0.6938

=====

Record 5
Below is a geometry-optimized Nd3Tl12Hg5 structure, with properties calculated at the PBE-GGA level.

Results
The space group is No. 230. The calculation puts the total energy at -2.044 eV per atom. For the formation energy, the calculation gives 0.166 eV/atom. The magnetic moment is 0.00 μB per cell.

Lattice parameters (Å, degrees): 15.5964 15.5964 15.5964 109.47 109.47 109.47
Positions (direct):
Tl1 0.5947 0.8707 0.4272
Tl2 0.0565 0.4272 0.8325
Tl3 0.2239 0.5565 0.6293
Tl4 0.6293 0.5728 0.9053
Tl5 0.9435 0.3707 0.2761
Hg1 0.8750 0.6250 0.7500
Tl6 0.5565 0.3325 0.9272
Tl7 0.1293 0.4053 0.0728
Tl8 0.6675 0.2239 0.5947
Hg2 0.0000 0.0000 0.0000
Tl9 0.5728 0.9435 0.6675
Tl10 0.4272 0.0565 0.3325
Tl11 0.9053 0.8325 0.7761
Tl12 0.1675 0.0947 0.7239
Nd1 0.1250 0.8750 0.7500
Nd2 0.7500 0.3750 0.1250
Hg3 0.7500 0.1250 0.8750
Tl13 0.1675 0.0728 0.9435
Tl14 0.0565 0.6293 0.7239
Tl15 0.3707 0.9435 0.7761
Tl16 0.9272 0.0947 0.8707
Tl17 0.8707 0.2761 0.4435
Hg4 0.2500 0.8750 0.1250
Tl18 0.7761 0.3325 0.9053
Hg5 0.3750 0.2500 0.1250
Tl19 0.5947 0.7239 0.6675
Nd3 0.3750 0.6250 0.2500
Tl20 0.8325 0.9053 0.2761
Hg6 0.0000 0.0000 0.5000
Tl21 0.8325 0.9272 0.0565
Nd4 0.3750 0.7500 0.6250
Tl22 0.7239 0.1293 0.0565
Nd5 0.2500 0.1250 0.3750
Tl23 0.4053 0.1293 0.5728
Hg7 0.3750 0.1250 0.7500
Tl24 0.2761 0.4053 0.8325
Tl25 0.4053 0.2761 0.3325
Tl26 0.3707 0.4272 0.0947
Tl27 0.7239 0.5947 0.1675
Hg8 0.5000 0.0000 0.0000
Hg9 0.6250 0.8750 0.2500
Tl28 0.4435 0.7761 0.8707
Hg10 0.1250 0.3750 0.2500
Tl29 0.0947 0.1675 0.2239
Tl30 0.0947 0.9272 0.3707
Hg11 0.5000 0.5000 0.5000
Hg12 0.0000 0.5000 0.0000
Tl31 0.4435 0.6675 0.0728
Tl32 0.9435 0.5728 0.1675
Nd6 0.7500 0.8750 0.6250
Tl33 0.9272 0.8325 0.5565
Nd7 0.6250 0.2500 0.3750
Nd8 0.1250 0.2500 0.8750
Nd9 0.6250 0.3750 0.7500
Tl34 0.0728 0.9053 0.1293
Tl35 0.4272 0.3707 0.5947
Hg13 0.0000 0.5000 0.5000
Tl36 0.0728 0.1675 0.4435
Hg14 0.1250 0.7500 0.3750
Tl37 0.2239 0.6675 0.0947
Hg15 0.5000 0.0000 0.5000
Hg16 0.2500 0.3750 0.6250
Tl38 0.2761 0.8707 0.9435
Hg17 0.7500 0.6250 0.3750
Tl39 0.7761 0.4435 0.3707
Hg18 0.8750 0.2500 0.6250
Nd10 0.8750 0.1250 0.2500
Hg19 0.6250 0.7500 0.8750
Tl40 0.5728 0.6293 0.4053
Tl41 0.6293 0.0565 0.2239
Hg20 0.5000 0.5000 0.0000
Tl42 0.3325 0.5565 0.4272
Tl43 0.6675 0.4435 0.5728
Tl44 0.3325 0.7761 0.4053
Tl45 0.1293 0.7239 0.5565
Tl46 0.5565 0.2239 0.1293
Nd11 0.2500 0.6250 0.8750
Nd12 0.8750 0.7500 0.1250
Tl47 0.9053 0.0728 0.6293
Tl48 0.8707 0.5947 0.9272

=====

Record 6
Below is a geometry-optimized Nd2TlHg8 structure, with properties calculated at the PBE-GGA level.

Results
The space group is No. 12. The calculation puts the total energy at -1.535 eV per atom. For the formation energy, the calculation gives -0.233 eV/atom. The magnetic moment is 0.00 μB per cell.

Lattice parameters (Å, degrees): 4.9366 7.1605 9.1755 108.94 105.61 90.00
Positions (direct):
Hg1 0.6188 0.4221 0.2375
Tl1 0.5000 0.0000 0.0000
Hg2 0.3812 0.5779 0.7625
Hg3 0.1608 0.1870 0.3215
Hg4 0.9765 0.2818 0.9529
Nd1 0.7903 0.3120 0.5806
Hg5 0.3492 0.1167 0.6984
Hg6 0.0235 0.7182 0.0471
Hg7 0.6508 0.8833 0.3016
Hg8 0.8392 0.8130 0.6785
Nd2 0.2097 0.6880 0.4194

=====

Record 7
Below is a geometry-optimized Nd3TlHg4 structure, with properties calculated at the PBE-GGA level.

Results
The offset from the most stable computed form is 0.106 eV/atom. The space group is No. 71. The calculation puts the total energy at -2.539 eV per atom. For the formation energy, the calculation gives -0.304 eV/atom. The magnetic moment is 0.00 μB per cell.

Lattice parameters (Å, degrees): 3.7412 8.1084 8.9850 116.82 102.02 90.00
Positions (direct):
Nd1 0.8132 0.8132 0.6264
Hg1 0.3613 0.5566 0.7226
Nd2 0.0000 0.5000 0.0000
Nd3 0.1868 0.1868 0.3736
Hg2 0.6387 0.8340 0.2774
Tl1 0.5000 0.0000 0.0000
Hg3 0.3613 0.1660 0.7226
Hg4 0.6387 0.4434 0.2774

=====

Record 8
Below is a geometry-optimized Nd3Tl4Hg2 structure, with properties calculated at the PBE-GGA level.

Results
The offset from the most stable computed form is 0.040 eV/atom. The space group is No. 189. The calculation puts the total energy at -2.998 eV per atom. For the formation energy, the calculation gives -0.290 eV/atom. The magnetic moment is 0.00 μB per cell.

Lattice parameters (Å, degrees): 4.4668 8.1510 8.1510 120.00 90.00 90.00
Positions (direct):
Nd1 0.5000 0.5998 0.5998
Hg1 0.0000 0.3333 0.6667
Tl1 0.5000 0.0000 0.0000
Nd2 0.5000 0.4002 0.0000
Tl2 0.0000 0.0000 0.7325
Nd3 0.5000 0.0000 0.4002
Tl3 0.0000 0.2675 0.2675
Tl4 0.0000 0.7325 0.0000
Hg2 0.0000 0.6667 0.3333

=====

- magnetic moment of number 7 (Nd3TlHg4)?
  0.00 μB per cell

=====

- formation energy of number 8 (Nd3Tl4Hg2)?
  -0.290 eV/atom